No. 1
First-principles (PBE-GGA) data for a geometry-optimized TlPW2 structure, as listed in Alexandria.

Structure (POSCAR):
```
TlPW2
1.0
3.221 0.000 0.000
0.000 4.480 0.000
0.000 0.000 4.801
Tl P W
1 1 2
Direct
0.000 0.000 0.000 Tl
0.500 0.000 0.500 P
0.000 0.500 0.500 W
0.500 0.500 0.000 W
```

Results
The density of states at the Fermi level is 3.107 states/eV/cell. The value obtained for the distance to the lowest polymorph of the same formula is 713.4 meV/atom. The total energy comes out at -7.431 eV/atom. As for the formation energy from the elements: 95 kJ per mole of atoms.



No. 2
First-principles (PBE-GGA) data for a geometry-optimized NiW2Se structure, as listed in Alexandria.

Structure (POSCAR):
```
NiW2Se
1.0
3.732 0.000 0.000
0.000 3.732 0.000
0.000 0.000 4.418
Ni W Se
1 2 1
Direct
0.000 0.000 0.000 Ni
0.000 0.500 0.500 W
0.500 0.000 0.500 W
0.500 0.500 0.000 Se
```

Results
The density of states at the Fermi level is 2.900 states/eV/cell. The total energy comes out at -8.143 eV/atom.



No. 3
First-principles (PBE-GGA) data for a geometry-optimized SiH structure, as listed in Alexandria.

Structure (POSCAR):
```
SiH
1.0
1.938 1.119 5.297
-1.938 1.119 5.297
0.000 -2.238 5.297
Si H
2 2
Direct
0.189 0.189 0.189 Si
0.811 0.811 0.811 Si
0.284 0.284 0.284 H
0.716 0.716 0.716 H
```

Results
The density of states at the Fermi level is 0.000 states/eV/cell. The value obtained for the distance to the lowest polymorph of the same formula is 1.2 meV/atom. The total energy comes out at -4.369 eV/atom.



No. 4
First-principles (PBE-GGA) data for a geometry-optimized NaLaGa4S8 structure, as listed in Alexandria.

Structure (POSCAR):
```
NaLaGa4S8
1.0
0.000 10.252 10.316
6.143 0.000 10.316
6.143 10.252 0.000
Na La Ga S
4 4 16 32
Direct
0.122 0.122 0.628 Na
0.372 0.372 0.878 Na
0.628 0.628 0.122 Na
0.878 0.878 0.372 Na
0.125 0.125 0.125 La
0.375 0.375 0.375 La
0.625 0.625 0.625 La
0.875 0.875 0.875 La
0.032 0.469 0.859 Ga
0.111 0.385 0.366 Ga
0.140 0.859 0.469 Ga
0.141 0.860 0.968 Ga
0.362 0.634 0.615 Ga
0.366 0.638 0.111 Ga
0.385 0.111 0.638 Ga
0.469 0.032 0.140 Ga
0.531 0.968 0.860 Ga
0.615 0.889 0.362 Ga
0.634 0.362 0.889 Ga
0.638 0.366 0.385 Ga
0.859 0.140 0.032 Ga
0.860 0.141 0.531 Ga
0.889 0.615 0.634 Ga
0.968 0.531 0.141 Ga
0.079 0.590 0.918 S
0.082 0.086 0.921 S
0.086 0.082 0.410 S
0.091 0.577 0.414 S
0.151 0.343 0.161 S
0.155 0.839 0.657 S
0.161 0.845 0.151 S
0.185 0.314 0.654 S
0.314 0.185 0.347 S
0.343 0.151 0.845 S
0.346 0.653 0.815 S
0.347 0.654 0.314 S
0.410 0.921 0.086 S
0.414 0.419 0.091 S
0.419 0.414 0.577 S
0.423 0.909 0.581 S
0.577 0.091 0.419 S
0.581 0.586 0.423 S
0.586 0.581 0.909 S
0.590 0.079 0.914 S
0.653 0.346 0.686 S
0.654 0.347 0.185 S
0.657 0.849 0.155 S
0.686 0.815 0.653 S
0.815 0.686 0.346 S
0.839 0.155 0.849 S
0.845 0.161 0.343 S
0.849 0.657 0.839 S
0.909 0.423 0.586 S
0.914 0.918 0.590 S
0.918 0.914 0.079 S
0.921 0.410 0.082 S
```

Results
The density of states at the Fermi level is 0.000 states/eV/cell. The total energy comes out at -4.727 eV/atom.



No. 5
First-principles (PBE-GGA) data for a geometry-optimized ReRuW3 structure, as listed in Alexandria.

Structure (POSCAR):
```
ReRuW3
1.0
4.606 0.000 0.000
0.000 4.606 0.000
0.000 0.000 4.606
Re Ru W
1 1 3
Direct
0.000 0.000 0.000 Re
0.500 0.500 0.500 Ru
0.000 0.500 0.500 W
0.500 0.000 0.500 W
0.500 0.500 0.000 W
```

Results
The density of states at the Fermi level is 5.906 states/eV/cell. The value obtained for the distance to the lowest polymorph of the same formula is 0.0 meV/atom. The total energy comes out at -9.921 eV/atom. As for the formation energy from the elements: 212 kJ per mole of atoms.



No. 6
First-principles (PBE-GGA) data for a geometry-optimized TiMnGa4 structure, as listed in Alexandria.

Structure (POSCAR):
```
TiMnGa4
1.0
3.114 -3.123 0.000
3.114 3.123 0.000
0.000 0.000 5.380
Ti Mn Ga
1 1 4
Direct
0.000 0.000 0.000 Ti
0.000 0.000 0.500 Mn
0.000 0.500 0.263 Ga
0.000 0.500 0.737 Ga
0.500 0.000 0.263 Ga
0.500 0.000 0.737 Ga
```

Results
The density of states at the Fermi level is 1.540 states/eV/cell. The total energy comes out at -5.099 eV/atom. As for the formation energy from the elements: -23 kJ per mole of atoms.